Below is a geometry-optimized Li3Tb4PmSe8 structure, with properties calculated at the PBE level.

a = 8.1597 Å, b = 8.1597 Å, c = 19.9437 Å
α = 90.00°, β = 90.00°, γ = 120.00°
Space group R-3m (No. 166, hexagonal axes)
Unique sites:
Li (0.0000, 0.5000, 0.0000) (multiplicity 9)
Tb (0.0000, 0.0000, 0.5000) (multiplicity 3)
Tb (0.0000, 0.5000, 0.5000) (multiplicity 9)
Pm (0.0000, 0.0000, 0.0000) (multiplicity 3)
Se (0.0000, 0.0000, 0.2510) (multiplicity 6)
Se (0.0073, 0.5036, 0.2511) (multiplicity 18)

Summary:
E_form (uncorrected): -166.8 kJ per mole of atoms